{"formula": "LiTmNiF6", "functional": "GGA+U", "state": "optimized geometry", "spacegroup": "P-31c", "energy_ev_per_atom": -5.3971, "lattice": [[5.421, 0.000, 0.000], [-2.711, 4.695, 0.000], [0.000, 0.000, 8.954]], "species": ["Li", "Li", "Tm", "Tm", "Ni", "Ni", "F", "F", "F", "F", "F", "F", "F", "F", "F", "F", "F", "F"], "fractional_positions": [[0.000, 0.000, 0.000], [0.000, 0.000, 0.500], [0.333, 0.667, 0.250], [0.667, 0.333, 0.750], [0.333, 0.667, 0.750], [0.667, 0.333, 0.250], [0.018, 0.348, 0.629], [0.018, 0.670, 0.871], [0.330, 0.348, 0.871], [0.330, 0.982, 0.629], [0.348, 0.018, 0.129], [0.348, 0.330, 0.371], [0.652, 0.670, 0.629], [0.652, 0.982, 0.871], [0.670, 0.018, 0.371], [0.670, 0.652, 0.129], [0.982, 0.330, 0.129], [0.982, 0.652, 0.371]]}